Tb2Sc3Ga4 PBE optimized geometry; polymorph energy (0 for the lowest one) = 0.159 eV per atom; formation energy from the elements = -466 meV/atom
1.0
3.222 -7.667 0.000
3.222 7.667 0.000
0.000 0.000 8.191
Tb Sc Ga
4 6 8
Direct
0.110 0.890 0.917 Tb
0.390 0.610 0.417 Tb
0.610 0.390 0.583 Tb
0.890 0.110 0.083 Tb
0.000 0.000 0.500 Sc
0.036 0.464 0.750 Sc
0.464 0.036 0.250 Sc
0.500 0.500 0.000 Sc
0.536 0.964 0.750 Sc
0.964 0.536 0.250 Sc
0.185 0.815 0.543 Ga
0.215 0.285 0.750 Ga
0.285 0.215 0.250 Ga
0.315 0.685 0.043 Ga
0.685 0.315 0.957 Ga
0.715 0.785 0.750 Ga
0.785 0.715 0.250 Ga
0.815 0.185 0.457 Ga

=====

TbSc2Ga2 PBE optimized geometry; formation energy from the elements = -391 meV/atom
1.0
5.078 0.000 0.000
0.000 4.117 0.000
-0.893 0.000 11.139
Tb Sc Ga
2 4 4
Direct
0.179 0.250 0.240 Tb
0.821 0.750 0.760 Tb
0.242 0.750 0.482 Sc
0.352 0.250 0.891 Sc
0.648 0.750 0.109 Sc
0.758 0.250 0.518 Sc
0.145 0.750 0.026 Ga
0.279 0.250 0.648 Ga
0.721 0.750 0.352 Ga
0.855 0.250 0.974 Ga

=====

TbSc2Ga PBE optimized geometry; polymorph energy (0 for the lowest one) = 0.114 eV per atom; formation energy from the elements = -178 meV/atom
1.0
1.702 0.983 9.753
-1.702 0.983 9.753
0.000 -1.966 9.753
Tb Sc Ga
1 2 1
Direct
0.000 0.000 0.000 Tb
0.238 0.238 0.238 Sc
0.430 0.430 0.430 Sc
0.834 0.834 0.834 Ga

=====

Q: The lowest formation energy from the elements belongs to which entry?
A: Tb2Sc3Ga4

=====

Please write out number 1 again, unchanged.
Tb2Sc3Ga4 PBE optimized geometry; polymorph energy (0 for the lowest one) = 0.159 eV per atom; formation energy from the elements = -466 meV/atom
1.0
3.222 -7.667 0.000
3.222 7.667 0.000
0.000 0.000 8.191
Tb Sc Ga
4 6 8
Direct
0.110 0.890 0.917 Tb
0.390 0.610 0.417 Tb
0.610 0.390 0.583 Tb
0.890 0.110 0.083 Tb
0.000 0.000 0.500 Sc
0.036 0.464 0.750 Sc
0.464 0.036 0.250 Sc
0.500 0.500 0.000 Sc
0.536 0.964 0.750 Sc
0.964 0.536 0.250 Sc
0.185 0.815 0.543 Ga
0.215 0.285 0.750 Ga
0.285 0.215 0.250 Ga
0.315 0.685 0.043 Ga
0.685 0.315 0.957 Ga
0.715 0.785 0.750 Ga
0.785 0.715 0.250 Ga
0.815 0.185 0.457 Ga

=====

Q: What is the formula in the third record?
A: TbSc2Ga